(1)
Computed, not measured: PmFeB4 after structural relaxation at the PBE-GGA level of DFT.

Output
ΔH_f (0 K) in kcal/mol of atoms: -11.50
Spin magnetization in Bohr magnetons per cell: 0.00
Symmetry: Cmmm, No. 65

Unit cell a=3.451 b=5.977 c=5.977 alpha=104.15 beta=90.00 gamma=90.00
Positions (direct):
B  0.500  0.934  0.626
Pm  0.000  0.699  0.301
Fe  0.000  0.826  0.826
B  0.500  0.066  0.374
B  0.500  0.626  0.934
Pm  0.000  0.301  0.699
B  0.500  0.374  0.066
Fe  0.000  0.174  0.174
B  0.500  0.635  0.635
B  0.500  0.911  0.089
B  0.500  0.089  0.911
B  0.500  0.365  0.365

---

(2)
Computed, not measured: ScFeTe2N after structural relaxation at the PBE-GGA level of DFT.

Output
Energy relative to the elements, uncorrected in eV per atom: 0.548
Offset from the most stable computed form in eV per atom: 0.704
Spin magnetization in Bohr magnetons per cell: 3.85
Symmetry: P4/mmm, No. 123

Unit cell a=5.689 b=5.689 c=3.861 alpha=90.00 beta=90.00 gamma=90.00
Each line ends with the local moment (μB).
Positions (direct):
Sc  0.000  0.000  0.000  0.03
Te  0.500  0.000  0.000  0.00
Fe  0.500  0.500  0.500  3.35
Te  0.000  0.500  0.000  0.00
N  0.000  0.000  0.500  0.22

---

(3)
Computed, not measured: NpZnSi after structural relaxation at the PBE-GGA level of DFT.

Output
Energy relative to the elements, uncorrected in eV per atom: 0.386
Spin magnetization in Bohr magnetons per cell: 2.11
Symmetry: I4mm, No. 107

Unit cell a=2.581 b=2.581 c=8.144 alpha=99.12 beta=99.12 gamma=90.00
Each line ends with the local moment (μB).
Positions (direct):
Zn  0.784  0.784  0.568  0.01
Si  0.942  0.942  0.884  0.01
Np  0.124  0.124  0.248  2.08

---

Which value of spin magnetization does entry 2 give?
3.85 Bohr magnetons per cell